(1)
The following is a PBE calculation of a geometry-optimized NbTeS4Cl structure, from Alexandria via LeMat-Bulk.

Values from the calculation:
**Space group**: No. 12
**ρ**: 2.829 g/cm³
**Uncorrected formation energy**: -0.4036 eV per atom
**Total energy**: -4.913 eV/atom
**Density of states at the Fermi level**: 0.225 states/eV per cell

a b c (Å): 10.3437 10.3437 7.4052
angles (deg): 55.60 55.60 46.18
With the nearest neighbours (Å) after each atom.
Positions (direct):
1 Nb 0.2401 0.2401 0.9046  6 S 2.37-2.61, 1 Cl 2.40
2 Nb 0.7599 0.7599 0.0954  6 S 2.37-2.61, 1 Cl 2.40
3 Te 0.6676 0.6676 0.7072  2 S 2.36-2.60
4 Te 0.3324 0.3324 0.2928  2 S 2.36-2.60
5 S 0.1900 0.1900 0.6537  1 Te 2.36, 1 Nb 2.56
6 S 0.8100 0.8100 0.3463  1 Te 2.36, 1 Nb 2.56
7 S 0.0824 0.4447 0.1319  2 Nb 2.47-2.61, 1 S 2.56, 1 Te 2.69
8 S 0.6159 0.6159 0.4532  1 Nb 2.37, 1 Te 2.60
9 S 0.5553 0.9176 0.8681  2 Nb 2.47-2.61, 1 S 2.56, 1 Te 2.69
10 S 0.4447 0.0824 0.1319  2 Nb 2.47-2.61, 1 S 2.56, 1 Te 2.69
11 S 0.3841 0.3841 0.5468  1 Nb 2.37, 1 Te 2.60
12 S 0.9176 0.5553 0.8681  2 Nb 2.47-2.61, 1 S 2.56, 1 Te 2.69
13 Cl 0.0803 0.0803 0.1580  1 Nb 2.40
14 Cl 0.9197 0.9197 0.8420  1 Nb 2.40

---

(2)
The following is a PBE calculation of a geometry-optimized GeSbO2 structure, from Alexandria via LeMat-Bulk.

Values from the calculation:
**Space group**: No. 225
**Excess energy over the best structure of this formula in the dataset**: 604.3 meV per atom
**ρ**: 6.878 g/cm³
**Uncorrected formation energy**: -0.2043 eV per atom
**Total energy**: -4.868 eV/atom
**Density of states at the Fermi level**: 1.575 states/eV per cell

a b c (Å): 4.2599 4.2599 4.2599
angles (deg): 60.00 60.00 60.00
With the nearest neighbours (Å) after each atom.
Positions (direct):
1 Sb 0.5000 0.5000 0.5000  8 O 2.61
2 Ge 0.0000 0.0000 0.0000  8 O 2.61
3 O 0.2500 0.2500 0.2500  4 Sb 2.61, 4 Ge 2.61
4 O 0.7500 0.7500 0.7500  4 Sb 2.61, 4 Ge 2.61

---

(3)
The following is a PBE calculation of a geometry-optimized Ac4BiTe2As structure, from Alexandria via LeMat-Bulk.

Values from the calculation:
**Space group**: No. 10
**ρ**: 8.017 g/cm³
**Uncorrected formation energy**: -1.3985 eV per atom
**Total energy**: -5.304 eV/atom
**Density of states at the Fermi level**: 3.971 states/eV per cell

a b c (Å): 4.7108 8.2187 8.2004
angles (deg): 109.26 90.00 90.00
With the nearest neighbours (Å) after each atom.
Positions (direct):
1 Ac 0.5000 0.2308 0.2300  2 As 3.22, 1 Bi 3.35, 3 Te 3.36-3.48
2 Ac 0.5000 0.7692 0.7700  2 As 3.22, 1 Bi 3.35, 3 Te 3.36-3.48
3 Ac 0.0000 0.2399 0.7612  1 As 3.20, 2 Bi 3.35, 3 Te 3.35-3.49
4 Ac 0.0000 0.7601 0.2388  1 As 3.20, 2 Bi 3.35, 3 Te 3.35-3.49
5 Bi 0.5000 0.5000 0.0000  6 Ac 3.35
6 Te 0.5000 0.0000 0.5000  6 Ac 3.35-3.36
7 Te 0.0000 0.5000 0.5000  6 Ac 3.48-3.49
8 As 0.0000 0.0000 0.0000  6 Ac 3.20-3.22